Density functional theory data (PBE-GGA) for Li4Al2Ag5 after structural relaxation.

Output
Volume, Å³ per cell: 368.3
Spin magnetization, μB/atom: 0.0000
VASP energy, eV/cell: -63.2

Cell and atoms, written as CIF:
```
data_Li4Al2Ag5
_cell_length_a 7.402
_cell_length_b 17.287
_cell_length_c 2.878
_cell_angle_alpha 90.00
_cell_angle_beta 90.00
_cell_angle_gamma 90.00
_symmetry_space_group_name_H-M 'P b a m'
_symmetry_Int_Tables_number 55
_symmetry_space_group_name_Hall '-P 2 2ab'
loop_
_atom_site_label
_atom_site_type_symbol
_atom_site_fract_x
_atom_site_fract_y
_atom_site_fract_z
Li1 Li 0.086 0.145 0.000
Li2 Li 0.215 0.433 0.000
Al1 Al 0.034 0.692 0.000
Ag1 Ag 0.000 0.000 0.500
Ag2 Ag 0.128 0.566 0.500
Ag3 Ag 0.229 0.792 0.500
```